Pa4Sn | PBE | optimized geometry

Values from the calculation:
As for the relative energy among the computed polymorphs: 0.0000 eV per atom. The density of states at the Fermi level comes out at 2.5985 states/eV/atom. The formation enthalpy at 0 K is 0.781 eV/atom.

Lattice parameters (Å, degrees): 10.379 10.379 5.656 90.00 90.00 90.00
Fractional coordinates of all 20 atoms:
Pa 0.000 0.000 0.231
Pa 0.000 0.000 0.769
Pa 0.103 0.209 0.500
Pa 0.103 0.603 0.500
Pa 0.209 0.897 0.500
Pa 0.291 0.397 0.500
Pa 0.397 0.103 0.500
Pa 0.397 0.709 0.500
Pa 0.500 0.500 0.231
Pa 0.500 0.500 0.769
Pa 0.603 0.291 0.500
Pa 0.603 0.897 0.500
Pa 0.709 0.603 0.500
Pa 0.791 0.103 0.500
Pa 0.897 0.397 0.500
Pa 0.897 0.791 0.500
Sn 0.110 0.390 0.000
Sn 0.390 0.890 0.000
Sn 0.610 0.110 0.000
Sn 0.890 0.610 0.000